# 1
Density functional theory data (PBE) for a geometry-optimized NbNi6Pd structure.

The volume is 98.3 Å³/f.u. Its final energy is -6.36 eV per atom. As for the energy relative to the elements: -0.117 eV/atom. The calculation puts the density of states at the Fermi level at 10.711 states/eV/f.u.

Unit cell a=6.3412 b=6.3412 c=10.3807 alpha=90.00 beta=90.00 gamma=109.66
Last column: nearest neighbours and their distance in Å.
Fractional coordinates of all 32 atoms:
Nb  0.7531  0.2469  0.7500  12 Ni 2.56-2.62
Nb  0.2469  0.7531  0.7500  12 Ni 2.56-2.62
Nb  0.0000  0.0000  0.4965  12 Ni 2.56-2.63
Nb  0.0000  0.0000  0.0035  12 Ni 2.56-2.63
Ni  0.7516  0.2484  0.5030  2 Nb 2.56-2.58, 8 Ni 2.57-2.61, 2 Pd 2.61-2.63
Ni  0.6261  0.8754  0.3762  1 Nb 2.56, 3 Pd 2.57-2.62, 8 Ni 2.58-2.62
Ni  0.3739  0.1246  0.3762  1 Nb 2.56, 3 Pd 2.57-2.62, 8 Ni 2.58-2.62
Ni  0.2484  0.7516  0.5030  2 Nb 2.56-2.58, 8 Ni 2.57-2.61, 2 Pd 2.61-2.63
Ni  0.1246  0.3739  0.3762  1 Nb 2.56, 3 Pd 2.57-2.62, 8 Ni 2.58-2.62
Ni  0.8754  0.6261  0.3762  1 Nb 2.56, 3 Pd 2.57-2.62, 8 Ni 2.58-2.62
Ni  0.5000  0.5000  0.7500  8 Ni 2.58, 2 Nb 2.62, 2 Pd 2.63
Ni  0.3748  0.1248  0.6260  3 Nb 2.57-2.61, 8 Ni 2.57-2.59, 1 Pd 2.61
Ni  0.1248  0.3748  0.6260  3 Nb 2.57-2.61, 8 Ni 2.57-2.59, 1 Pd 2.61
Ni  0.7516  0.2484  0.9970  2 Nb 2.56-2.58, 8 Ni 2.57-2.61, 2 Pd 2.61-2.63
Ni  0.6252  0.8752  0.8740  3 Nb 2.57-2.61, 8 Ni 2.57-2.59, 1 Pd 2.61
Ni  0.3748  0.1248  0.8740  3 Nb 2.57-2.61, 8 Ni 2.57-2.59, 1 Pd 2.61
Ni  0.2484  0.7516  0.9970  2 Nb 2.56-2.58, 8 Ni 2.57-2.61, 2 Pd 2.61-2.63
Ni  0.1248  0.3748  0.8740  3 Nb 2.57-2.61, 8 Ni 2.57-2.59, 1 Pd 2.61
Ni  0.8752  0.6252  0.8740  3 Nb 2.57-2.61, 8 Ni 2.57-2.59, 1 Pd 2.61
Ni  0.5000  0.5000  0.2500  4 Pd 2.56-2.62, 8 Ni 2.60
Ni  0.3739  0.1246  0.1238  1 Nb 2.56, 3 Pd 2.57-2.62, 8 Ni 2.58-2.62
Ni  0.1246  0.3739  0.1238  1 Nb 2.56, 3 Pd 2.57-2.62, 8 Ni 2.58-2.62
Ni  0.0000  0.0000  0.7500  4 Nb 2.56-2.63, 8 Ni 2.58
Ni  0.8752  0.6252  0.6260  3 Nb 2.57-2.61, 8 Ni 2.57-2.59, 1 Pd 2.61
Ni  0.6252  0.8752  0.6260  3 Nb 2.57-2.61, 8 Ni 2.57-2.59, 1 Pd 2.61
Ni  0.0000  0.0000  0.2500  2 Nb 2.56, 2 Pd 2.56, 8 Ni 2.59
Ni  0.8754  0.6261  0.1238  1 Nb 2.56, 3 Pd 2.57-2.62, 8 Ni 2.58-2.62
Ni  0.6261  0.8754  0.1238  1 Nb 2.56, 3 Pd 2.57-2.62, 8 Ni 2.58-2.62
Pd  0.7529  0.2471  0.2500  12 Ni 2.56-2.63
Pd  0.2471  0.7529  0.2500  12 Ni 2.56-2.63
Pd  0.5000  0.5000  0.4965  12 Ni 2.56-2.63
Pd  0.5000  0.5000  0.0035  12 Ni 2.56-2.63

=====

# 2
Density functional theory data (PBE) for a geometry-optimized Nb2Ni4Pd3 structure.

The volume is 125.2 Å³/f.u. Its final energy is -6.74 eV per atom. As for the energy relative to the elements: -0.199 eV/atom. The calculation puts the density of states at the Fermi level at 7.502 states/eV/f.u.

Unit cell a=4.4161 b=4.2095 c=7.9457 alpha=94.38 beta=90.00 gamma=121.64
Last column: nearest neighbours and their distance in Å.
Fractional coordinates of all 9 atoms:
Nb  0.3310  0.6620  0.2239  7 Ni 2.58-2.68, 3 Pd 2.75-2.83
Nb  0.6690  0.3380  0.7761  7 Ni 2.58-2.68, 3 Pd 2.75-2.83
Ni  0.6663  0.3326  0.1003  4 Nb 2.58-2.68, 4 Pd 2.59-2.62, 2 Ni 2.75-2.85
Ni  0.0039  0.0077  0.6715  4 Pd 2.56-2.61, 3 Nb 2.61, 2 Ni 2.72-2.85
Ni  0.9961  0.9923  0.3285  4 Pd 2.56-2.61, 3 Nb 2.61, 2 Ni 2.72-2.85
Ni  0.3337  0.6674  0.8997  4 Nb 2.58-2.68, 4 Pd 2.59-2.62, 2 Ni 2.75-2.85
Pd  0.3339  0.6677  0.5705  4 Ni 2.56-2.62, 3 Pd 2.71-2.72, 2 Nb 2.75-2.78
Pd  0.0000  0.0000  0.0000  8 Ni 2.59-2.61, 2 Nb 2.83
Pd  0.6661  0.3323  0.4295  4 Ni 2.56-2.62, 3 Pd 2.71-2.72, 2 Nb 2.75-2.78

=====

# 3
Density functional theory data (PBE) for a geometry-optimized NbNiPd5 structure.

The volume is 115.1 Å³/f.u. Its final energy is -5.94 eV per atom. The excess energy over the best structure of this formula in the dataset is 184 meV per atom. As for the energy relative to the elements: 0.036 eV/atom. The calculation puts the density of states at the Fermi level at 6.120 states/eV/f.u.

Unit cell a=5.4284 b=5.4284 c=10.1815 alpha=62.60 beta=62.60 gamma=66.83
Last column: nearest neighbours and their distance in Å.
Fractional coordinates of all 14 atoms:
Nb  0.6591  0.3409  0.2500  5 Pd 2.47-2.57
Nb  0.3409  0.6591  0.7500  5 Pd 2.47-2.57
Ni  0.0000  0.0000  0.0000  6 Pd 2.59-2.79
Ni  0.0000  0.0000  0.5000  6 Pd 2.59-2.79
Pd  0.5623  0.9003  0.2652  1 Nb 2.57, 1 Ni 2.64, 5 Pd 2.65-2.83
Pd  0.2766  0.4541  0.4830  1 Nb 2.47, 2 Pd 2.69-2.72
Pd  0.9003  0.5623  0.7652  1 Nb 2.57, 1 Ni 2.64, 5 Pd 2.65-2.83
Pd  0.0801  0.9199  0.2500  1 Nb 2.52, 2 Ni 2.59, 6 Pd 2.65-2.80
Pd  0.5459  0.7234  0.0170  1 Nb 2.47, 2 Pd 2.69-2.72
Pd  0.4541  0.2766  0.9830  1 Nb 2.47, 2 Pd 2.69-2.72
Pd  0.9199  0.0801  0.7500  1 Nb 2.52, 2 Ni 2.59, 6 Pd 2.65-2.80
Pd  0.0997  0.4377  0.2348  1 Nb 2.57, 1 Ni 2.64, 5 Pd 2.65-2.83
Pd  0.7234  0.5459  0.5170  1 Nb 2.47, 2 Pd 2.69-2.72
Pd  0.4377  0.0997  0.7348  1 Nb 2.57, 1 Ni 2.64, 5 Pd 2.65-2.83

=====

# 4
Density functional theory data (PBE) for a geometry-optimized Nb2Ni3Pd2 structure.

The volume is 100.3 Å³/f.u. Its final energy is -6.95 eV per atom. As for the energy relative to the elements: -0.108 eV/atom. The calculation puts the density of states at the Fermi level at 8.019 states/eV/f.u.

Unit cell a=3.8219 b=4.8189 c=5.9608 alpha=95.20 beta=90.00 gamma=113.36
Last column: nearest neighbours and their distance in Å.
Fractional coordinates of all 7 atoms:
Nb  0.1454  0.2909  0.3916  3 Ni 2.55-2.57, 3 Pd 2.70-2.73
Nb  0.8546  0.7091  0.6084  3 Ni 2.55-2.57, 3 Pd 2.70-2.73
Ni  0.2844  0.5689  0.8672  2 Nb 2.57, 5 Ni 2.59-2.76, 4 Pd 2.62-2.77
Ni  0.0000  0.0000  0.0000  2 Nb 2.55, 4 Pd 2.61, 6 Ni 2.71-2.76
Ni  0.7156  0.4311  0.1328  2 Nb 2.57, 5 Ni 2.59-2.76, 4 Pd 2.62-2.77
Pd  0.5682  0.1364  0.7288  6 Ni 2.61-2.77, 5 Nb 2.70-2.90, 1 Pd 2.87
Pd  0.4318  0.8636  0.2712  6 Ni 2.61-2.77, 5 Nb 2.70-2.90, 1 Pd 2.87

=====

# 5
Density functional theory data (PBE) for a geometry-optimized NbNi4Pd structure.

The volume is 75.2 Å³/f.u. Its final energy is -6.69 eV per atom. As for the energy relative to the elements: -0.291 eV/atom. The calculation puts the density of states at the Fermi level at 6.938 states/eV/f.u.

Unit cell a=4.7382 b=4.7382 c=4.7382 alpha=60.00 beta=60.00 gamma=60.00
Last column: nearest neighbours and their distance in Å.
Fractional coordinates of all 6 atoms:
Ni  0.6252  0.6252  0.1244  6 Ni 2.37
Ni  0.6252  0.1244  0.6252  6 Ni 2.37
Ni  0.6252  0.6252  0.6252  6 Ni 2.37
Ni  0.1244  0.6252  0.6252  6 Ni 2.37
Nb  0.2500  0.2500  0.2500  12 Ni 2.78, 4 Pd 2.90
Pd  0.0000  0.0000  0.0000  12 Ni 2.78, 4 Nb 2.90

=====

# 6
Density functional theory data (PBE) for a geometry-optimized NbNi2Pd4 structure.

The volume is 114.6 Å³/f.u. Its final energy is -5.70 eV per atom. As for the energy relative to the elements: 0.356 eV/atom. The calculation puts the density of states at the Fermi level at 10.529 states/eV/f.u.

Unit cell a=4.9612 b=4.9612 c=6.6681 alpha=122.31 beta=122.29 gamma=64.09
Last column: nearest neighbours and their distance in Å.
Fractional coordinates of all 7 atoms:
Nb  0.0000  0.0000  0.0000  4 Pd 2.48
Ni  0.6218  0.6218  0.2434  1 Ni 2.52, 8 Pd 2.78-2.81
Ni  0.3782  0.3782  0.7566  1 Ni 2.52, 8 Pd 2.78-2.81
Pd  0.7501  0.2500  0.5000  4 Pd 2.59-2.63, 4 Ni 2.81
Pd  0.2499  0.7500  0.5000  4 Pd 2.59-2.63, 4 Ni 2.81
Pd  0.5000  0.0000  0.0000  2 Nb 2.48, 4 Pd 2.59-2.63
Pd  0.0000  0.5000  0.0000  2 Nb 2.48, 4 Pd 2.59-2.63